First-principles (PBE-GGA) data for a relaxed Ba6HgPt2 crystal, as listed in the Alexandria database.

Values from the calculation:
space-group type = R3
formation enthalpy at 0 K = -0.518 eV per atom
crystal system = trigonal

Cell lengths 8.152, 8.152, 8.941 Å; angles 62.88, 62.88, 60.00 degrees
Fractional coordinates of all 9 atoms:
Hg1 0.793 0.793 0.620
Ba1 0.879 0.529 0.361
Ba2 0.369 0.684 0.858
Ba3 0.684 0.088 0.858
Ba4 0.529 0.231 0.361
Ba5 0.088 0.369 0.858
Ba6 0.231 0.879 0.361
Pt1 0.290 0.290 0.130
Pt2 0.470 0.470 0.590



First-principles (PBE-GGA) data for a relaxed HgTeW3 crystal, as listed in the Alexandria database.

Values from the calculation:
formation energy without anion corrections = 2.99 eV per atom
space-group type = Pm-3m
crystal system = cubic

Cell lengths 4.972, 4.972, 4.972 Å; angles 90.00, 90.00, 90.00 degrees
Fractional coordinates of all 5 atoms:
W1 0.500 0.000 0.000
W2 0.000 0.500 0.000
W3 0.000 0.000 0.500
Hg1 0.000 0.000 0.000
Te1 0.500 0.500 0.500



First-principles (PBE-GGA) data for a relaxed Na12AlHg6 crystal, as listed in the Alexandria database.

Values from the calculation:
space-group type = R-3
formation enthalpy at 0 K = -0.139 eV per atom
crystal system = trigonal

Cell lengths 8.064, 8.064, 8.064 Å; angles 87.86, 87.86, 87.86 degrees
Fractional coordinates of all 19 atoms:
Na1 0.573 0.193 0.470
Na2 0.974 0.853 0.627
Na3 0.373 0.026 0.147
Na4 0.026 0.147 0.373
Na5 0.193 0.470 0.573
Na6 0.470 0.573 0.193
Na7 0.530 0.427 0.807
Na8 0.627 0.974 0.853
Na9 0.807 0.530 0.427
Na10 0.147 0.373 0.026
Na11 0.427 0.807 0.530
Na12 0.853 0.627 0.974
Hg1 0.733 0.887 0.253
Hg2 0.267 0.113 0.747
Hg3 0.113 0.747 0.267
Hg4 0.887 0.253 0.733
Hg5 0.747 0.267 0.113
Hg6 0.253 0.733 0.887
Al1 0.000 0.000 0.000



First-principles (PBE-GGA) data for a relaxed Cs2ErCd2S4 crystal, as listed in the Alexandria database.

Values from the calculation:
formation energy without anion corrections = -1.14 eV per atom
space-group type = C2/m
crystal system = monoclinic

Cell lengths 4.048, 8.563, 8.563 Å; angles 112.30, 103.67, 90.00 degrees
Fractional coordinates of all 9 atoms:
Cs1 0.873 0.442 0.746
Cs2 0.127 0.558 0.254
S1 0.475 0.200 0.950
S2 0.525 0.800 0.050
S3 0.823 0.794 0.646
S4 0.177 0.206 0.354
Er1 0.000 0.000 0.000
Cd1 0.316 0.980 0.631
Cd2 0.684 0.020 0.369



First-principles (PBE-GGA) data for a relaxed Zr2TcTe crystal, as listed in the Alexandria database.

Values from the calculation:
formation energy without anion corrections = -0.31 eV per atom
space-group type = Cmmm
crystal system = orthorhombic

Cell lengths 4.883, 4.883, 3.480 Å; angles 90.01, 90.01, 104.55 degrees
Fractional coordinates of all 4 atoms:
Zr1 0.500 0.500 0.000
Zr2 0.000 0.000 0.000
Tc1 0.500 0.000 0.500
Te1 0.000 0.500 0.500



First-principles (PBE-GGA) data for a relaxed CaAcZnGa crystal, as listed in the Alexandria database.

Values from the calculation:
space-group type = F-43m
formation enthalpy at 0 K = -0.388 eV per atom
crystal system = cubic

Cell lengths 5.399, 5.399, 5.399 Å; angles 60.00, 60.00, 60.00 degrees
Fractional coordinates of all 4 atoms:
Ga1 0.250 0.250 0.250
Ac1 0.000 0.000 0.000
Zn1 0.750 0.750 0.750
Ca1 0.500 0.500 0.500



First-principles (PBE-GGA) data for a relaxed V2AgC crystal, as listed in the Alexandria database.

Values from the calculation:
space-group type = R-3m
formation enthalpy at 0 K = 0.013 eV per atom
crystal system = trigonal

Cell lengths 2.898, 2.898, 7.901 Å; angles 79.43, 79.43, 60.00 degrees
Fractional coordinates of all 4 atoms:
V1 0.120 0.120 0.641
V2 0.880 0.880 0.359
C1 0.500 0.500 0.500
Ag1 0.000 0.000 0.000



First-principles (PBE-GGA) data for a relaxed Hf2Al4Pd crystal, as listed in the Alexandria database.

Values from the calculation:
space-group type = Fmmm
formation enthalpy at 0 K = -0.299 eV per atom
crystal system = orthorhombic

Cell lengths 5.740, 5.740, 5.660 Å; angles 119.48, 119.48, 91.68 degrees
Fractional coordinates of all 7 atoms:
Pd1 0.214 0.786 0.000
Al1 0.214 0.286 0.000
Al2 0.214 0.286 0.500
Al3 0.714 0.786 0.000
Al4 0.714 0.786 0.500
Hf1 0.214 0.786 0.500
Hf2 0.714 0.286 0.500



no.,N(E_F) (states/eV per cell)
1,5.9
2,9.2
3,7.6
4,2.7
5,3.5
6,2.1
7,3.1
8,3.1